A plane-wave DFT calculation with PBE was carried out for a geometry-optimized PrYZn2Ga2 structure.

Energy relative to the elements ... -571 meV per atom

Lattice parameters (Å, degrees): 4.4565 4.4565 7.4819 90.00 90.00 120.00
Positions (direct):
Pr 0.0000 0.0000 0.0000
Y 0.0000 0.0000 0.5000
Zn 0.3333 0.6667 0.2742
Zn 0.6667 0.3333 0.7258
Ga 0.3333 0.6667 0.7340
Ga 0.6667 0.3333 0.2660

A plane-wave DFT calculation with PBE was carried out for a geometry-optimized MgZrTe2 structure.

E_form (uncorrected) ... -0.46 eV/atom

Lattice parameters (Å, degrees): 5.1150 5.1150 3.6517 90.00 90.00 90.00
Positions (direct):
Mg 0.0000 0.0000 0.0000
Zr 0.5000 0.5000 0.0000
Te 0.0000 0.5000 0.5000
Te 0.5000 0.0000 0.5000

A plane-wave DFT calculation with PBE was carried out for a geometry-optimized ZnSbOs2 structure.

Energy relative to the lowest polymorph listed for this composition ... 127 meV/atom
E_form (uncorrected) ... 0.47 eV/atom

Lattice parameters (Å, degrees): 6.2950 6.2950 6.2950 153.29 141.37 47.58
Positions (direct):
Zn 0.0000 0.0000 0.0000
Sb 0.7362 0.2362 0.5000
Os 0.3400 0.8400 0.5000
Os 0.5316 0.5316 0.0000

A plane-wave DFT calculation with PBE was carried out for a geometry-optimized V3OsSe structure.

Energy relative to the lowest polymorph listed for this composition ... 0 meV/atom
E_form (uncorrected) ... 0.93 eV/atom

Lattice parameters (Å, degrees): 4.3814 4.3814 4.3814 90.00 90.00 90.00
Positions (direct):
V 0.0000 0.0000 0.5000
V 0.0000 0.5000 0.0000
V 0.5000 0.0000 0.0000
Os 0.5000 0.5000 0.5000
Se 0.0000 0.0000 0.0000

A plane-wave DFT calculation with PBE was carried out for a geometry-optimized Cs2PaSbS6 structure.

E_form (uncorrected) ... -0.99 eV/atom

Lattice parameters (Å, degrees): 13.0182 13.0182 13.0182 33.50 33.50 33.50
Positions (direct):
Cs 0.1274 0.1274 0.1274
Cs 0.2899 0.2899 0.2899
Cs 0.7101 0.7101 0.7101
Cs 0.8726 0.8726 0.8726
Pa 0.4106 0.4106 0.4106
Pa 0.5894 0.5894 0.5894
Sb 0.0000 0.0000 0.0000
Sb 0.5000 0.5000 0.5000
S 0.1484 0.6132 0.6132
S 0.2021 0.2021 0.7173
S 0.2021 0.7173 0.2021
S 0.2827 0.7979 0.7979
S 0.3868 0.3868 0.8516
S 0.3868 0.8516 0.3868
S 0.6132 0.1484 0.6132
S 0.6132 0.6132 0.1484
S 0.7173 0.2021 0.2021
S 0.7979 0.2827 0.7979
S 0.7979 0.7979 0.2827
S 0.8516 0.3868 0.3868

A plane-wave DFT calculation with PBE was carried out for a geometry-optimized LiTm2Al2 structure.

Energy relative to the elements ... -238 meV per atom

Lattice parameters (Å, degrees): 6.0392 6.0392 6.0392 145.48 116.27 74.54
Positions (direct):
Li 0.0000 0.0000 0.0000
Tm 0.2743 0.7743 0.5000
Tm 0.7257 0.2257 0.5000
Al 0.2916 0.5000 0.7916
Al 0.7084 0.5000 0.2084

A plane-wave DFT calculation with PBE was carried out for a geometry-optimized Nb2P2Ru structure.

Energy relative to the elements ... -605 meV per atom

Lattice parameters (Å, degrees): 6.5578 6.5578 3.4437 90.00 90.00 90.00
Positions (direct):
Nb 0.1557 0.3443 0.0000
Nb 0.3443 0.8443 0.0000
Nb 0.6557 0.1557 0.0000
Nb 0.8443 0.6557 0.0000
P 0.1470 0.6470 0.5000
P 0.3530 0.1470 0.5000
P 0.6470 0.8530 0.5000
P 0.8530 0.3530 0.5000
Ru 0.0000 0.0000 0.5000
Ru 0.5000 0.5000 0.5000

A plane-wave DFT calculation with PBE was carried out for a geometry-optimized K2CoHg structure.

Energy relative to the elements ... 712 meV per atom

Lattice parameters (Å, degrees): 10.5617 10.5617 10.5617 22.59 22.59 22.59
Positions (direct):
K 0.2428 0.2428 0.2428
K 0.7572 0.7572 0.7572
Co 0.5000 0.5000 0.5000
Hg 0.0000 0.0000 0.0000

A plane-wave DFT calculation with PBE was carried out for a geometry-optimized Zr2CrCu structure.

Energy relative to the elements ... 312 meV per atom

Lattice parameters (Å, degrees): 8.2726 8.2726 8.2726 22.56 22.56 22.56
Positions (direct):
Zr 0.2452 0.2452 0.2452
Zr 0.7548 0.7548 0.7548
Cr 0.5000 0.5000 0.5000
Cu 0.0000 0.0000 0.0000

A plane-wave DFT calculation with PBE was carried out for a geometry-optimized ZrPdRh2 structure.

Energy relative to the elements ... -187 meV per atom

Lattice parameters (Å, degrees): 9.5755 9.5755 9.5755 156.45 156.45 33.55
Positions (direct):
Zr 0.0000 0.0000 0.0000
Zr 0.7500 0.2500 0.5000
Pd 0.2500 0.7500 0.5000
Pd 0.5000 0.5000 0.0000
Rh 0.1437 0.6250 0.0187
Rh 0.3750 0.3937 0.5187
Rh 0.6063 0.1250 0.9813
Rh 0.8750 0.8563 0.4813

A plane-wave DFT calculation with PBE was carried out for a geometry-optimized Sn2Ge2As structure.

Energy relative to the lowest polymorph listed for this composition ... 51 meV/atom
Energy relative to the elements ... 297 meV per atom

Lattice parameters (Å, degrees): 5.5786 5.5786 5.5786 120.30 120.30 89.49
Positions (direct):
Sn 0.2500 0.7500 0.5000
Sn 0.7500 0.2500 0.5000
Ge 0.1618 0.1618 0.0000
Ge 0.8382 0.8382 0.0000
As 0.5000 0.5000 0.0000

A plane-wave DFT calculation with PBE was carried out for a geometry-optimized Ho2HgPb structure.

Energy relative to the elements ... -445 meV per atom

Lattice parameters (Å, degrees): 5.2079 5.2079 3.9374 90.00 90.00 90.00
Positions (direct):
Ho 0.0000 0.5000 0.0000
Ho 0.5000 0.0000 0.0000
Hg 0.0000 0.0000 0.5000
Pb 0.5000 0.5000 0.5000

Number 1: ρ 6.5 Mg/m³. Number 2: ρ 6.4 Mg/m³. Number 3: ρ 13.5 Mg/m³. Number 4: ρ 8.3 Mg/m³. Number 5: ρ 4.5 Mg/m³. Number 6: ρ 6.0 Mg/m³. Number 7: ρ 7.8 Mg/m³. Number 8: ρ 3.7 Mg/m³. Number 9: ρ 6.8 Mg/m³. Number 10: ρ 9.6 Mg/m³. Number 11: ρ 6.2 Mg/m³. Number 12: ρ 11.5 Mg/m³.